[1]
Computed, not measured: a geometry-optimized KP12Au4 structure at the PBE level of DFT. Values from VASP.

Structure (Quantum ESPRESSO input):
```
&SYSTEM
  ibrav = 0, nat = 17, ntyp = 3
/
ATOMIC_SPECIES
K 39.10 K.upf
P 30.97 P.upf
Au 196.97 Au.upf
CELL_PARAMETERS angstrom
5.949 3.435 2.652
-5.949 3.435 2.652
0.000 -6.869 2.652
ATOMIC_POSITIONS crystal
K 0.000 0.000 0.000
P 0.114 0.618 0.748
P 0.133 0.369 0.504
P 0.252 0.886 0.382
P 0.369 0.504 0.133
P 0.382 0.252 0.886
P 0.496 0.867 0.631
P 0.504 0.133 0.369
P 0.618 0.748 0.114
P 0.631 0.496 0.867
P 0.748 0.114 0.618
P 0.867 0.631 0.496
P 0.886 0.382 0.252
Au 0.000 0.000 0.500
Au 0.000 0.500 0.000
Au 0.500 0.000 0.000
Au 0.500 0.500 0.500
```

Summary:
The size of the total moment is 0.00 μB/f.u. As for the crystal system: trigonal. For the formation energy from the elements, the calculation gives 1 meV/atom. As for the uncorrected energy: -4.6532 eV/atom.


[2]
Computed, not measured: a geometry-optimized Ac2Pm2Rh3 structure at the PBE level of DFT. Values from VASP.

Structure (Quantum ESPRESSO input):
```
&SYSTEM
  ibrav = 0, nat = 14, ntyp = 3
/
ATOMIC_SPECIES
Ac 227.00 Ac.upf
Pm 145.00 Pm.upf
Rh 102.91 Rh.upf
CELL_PARAMETERS angstrom
-4.533 4.533 4.533
4.533 -4.533 4.533
4.533 4.533 -4.533
ATOMIC_POSITIONS crystal
Ac 0.000 0.619 0.500
Ac 0.500 0.000 0.619
Ac 0.619 0.500 0.000
Ac 0.881 0.881 0.881
Pm 0.000 0.117 0.500
Pm 0.117 0.500 0.000
Pm 0.383 0.383 0.383
Pm 0.500 0.000 0.117
Rh 0.138 0.888 0.250
Rh 0.250 0.138 0.888
Rh 0.362 0.612 0.750
Rh 0.612 0.750 0.362
Rh 0.750 0.362 0.612
Rh 0.888 0.250 0.138
```

Summary:
The size of the total moment is 0.00 μB/f.u. As for the crystal system: cubic. For the formation energy from the elements, the calculation gives -621 meV/atom. As for the uncorrected energy: -6.3031 eV/atom.


[3]
Computed, not measured: a geometry-optimized La2HoTmBi4 structure at the PBE level of DFT. Values from VASP.

Structure (Quantum ESPRESSO input):
```
&SYSTEM
  ibrav = 0, nat = 8, ntyp = 4
/
ATOMIC_SPECIES
La 138.91 La.upf
Ho 164.93 Ho.upf
Tm 168.93 Tm.upf
Bi 208.98 Bi.upf
CELL_PARAMETERS angstrom
7.901 0.000 0.000
0.000 4.590 0.000
-2.663 0.000 7.484
ATOMIC_POSITIONS crystal
La 0.000 0.000 0.000
La 0.000 0.500 0.500
Ho 0.500 0.000 0.500
Tm 0.500 0.500 0.000
Bi 0.265 0.000 0.756
Bi 0.265 0.500 0.254
Bi 0.735 0.000 0.244
Bi 0.735 0.500 0.746
```

Summary:
The size of the total moment is 0.00 μB/f.u. As for the crystal system: monoclinic. For the formation energy from the elements, the calculation gives -929 meV/atom. As for the uncorrected energy: -5.2326 eV/atom.


[4]
Computed, not measured: a geometry-optimized PrSiPt2 structure at the PBE level of DFT. Values from VASP.

Structure (Quantum ESPRESSO input):
```
&SYSTEM
  ibrav = 0, nat = 8, ntyp = 3
/
ATOMIC_SPECIES
Pr 140.91 Pr.upf
Si 28.09 Si.upf
Pt 195.08 Pt.upf
CELL_PARAMETERS angstrom
5.531 0.000 0.000
0.000 7.839 0.000
0.000 0.000 4.045
ATOMIC_POSITIONS crystal
Pr 0.000 0.000 0.000
Pr 0.500 0.500 0.000
Si 0.000 0.500 0.500
Si 0.500 0.000 0.500
Pt 0.250 0.250 0.500
Pt 0.250 0.750 0.500
Pt 0.750 0.250 0.500
Pt 0.750 0.750 0.500
```

Summary:
The size of the total moment is 0.00 μB/f.u. As for the crystal system: orthorhombic. The formation energy from raw total energies comes out at -0.901 eV per atom. As for the uncorrected energy: -6.4717 eV/atom.


[5]
Computed, not measured: a geometry-optimized Na4Ac3TiO8 structure at the PBE level of DFT. Values from VASP.

Structure (Quantum ESPRESSO input):
```
&SYSTEM
  ibrav = 0, nat = 16, ntyp = 4
/
ATOMIC_SPECIES
Na 22.99 Na.upf
Ac 227.00 Ac.upf
Ti 47.87 Ti.upf
O 16.00 O.upf
CELL_PARAMETERS angstrom
3.627 2.094 5.738
-3.627 2.094 5.738
0.000 -4.188 5.738
ATOMIC_POSITIONS crystal
Na 0.000 0.000 0.000
Na 0.000 0.500 0.500
Na 0.500 0.000 0.500
Na 0.500 0.500 0.000
Ac 0.000 0.000 0.500
Ac 0.000 0.500 0.000
Ac 0.500 0.000 0.000
Ti 0.500 0.500 0.500
O 0.245 0.245 0.245
O 0.291 0.703 0.703
O 0.297 0.297 0.709
O 0.297 0.709 0.297
O 0.703 0.291 0.703
O 0.703 0.703 0.291
O 0.709 0.297 0.297
O 0.755 0.755 0.755
```

Summary:
The size of the total moment is 0.55 μB/f.u. As for the crystal system: trigonal. The formation energy from raw total energies comes out at -2.387 eV per atom. As for the uncorrected energy: -6.4593 eV/atom.


[6]
Computed, not measured: a geometry-optimized LiTmMg2Cd4 structure at the PBE level of DFT. Values from VASP.

Structure (Quantum ESPRESSO input):
```
&SYSTEM
  ibrav = 0, nat = 8, ntyp = 4
/
ATOMIC_SPECIES
Li 6.94 Li.upf
Tm 168.93 Tm.upf
Mg 24.30 Mg.upf
Cd 112.41 Cd.upf
CELL_PARAMETERS angstrom
2.469 1.426 8.240
-2.469 1.426 8.240
0.000 -2.851 8.240
ATOMIC_POSITIONS crystal
Li 0.000 0.000 0.000
Tm 0.500 0.500 0.500
Mg 0.248 0.248 0.248
Mg 0.752 0.752 0.752
Cd 0.117 0.117 0.117
Cd 0.372 0.372 0.372
Cd 0.628 0.628 0.628
Cd 0.883 0.883 0.883
```

Summary:
The size of the total moment is 0.00 μB/f.u. As for the crystal system: trigonal. For the formation energy from the elements, the calculation gives -221 meV/atom. As for the uncorrected energy: -1.8749 eV/atom.


[7]
Computed, not measured: a geometry-optimized Ac7Co3Hg structure at the PBE level of DFT. Values from VASP.

Structure (Quantum ESPRESSO input):
```
&SYSTEM
  ibrav = 0, nat = 11, ntyp = 3
/
ATOMIC_SPECIES
Ac 227.00 Ac.upf
Co 58.93 Co.upf
Hg 200.59 Hg.upf
CELL_PARAMETERS angstrom
4.962 -5.319 0.000
4.962 5.319 0.000
-1.870 0.000 6.867
ATOMIC_POSITIONS crystal
Ac 0.000 0.000 0.000
Ac 0.138 0.545 0.270
Ac 0.353 0.353 0.780
Ac 0.455 0.862 0.730
Ac 0.545 0.138 0.270
Ac 0.647 0.647 0.220
Ac 0.862 0.455 0.730
Co 0.273 0.727 0.000
Co 0.500 0.500 0.500
Co 0.727 0.273 0.000
Hg 0.000 0.000 0.500
```

Summary:
The size of the total moment is 0.00 μB/f.u. As for the crystal system: monoclinic. For the formation energy from the elements, the calculation gives -47 meV/atom. As for the uncorrected energy: -4.6270 eV/atom.


[8]
Computed, not measured: a geometry-optimized AgGeBr2 structure at the PBE level of DFT. Values from VASP.

Structure (Quantum ESPRESSO input):
```
&SYSTEM
  ibrav = 0, nat = 16, ntyp = 3
/
ATOMIC_SPECIES
Ag 107.87 Ag.upf
Ge 72.64 Ge.upf
Br 79.90 Br.upf
CELL_PARAMETERS angstrom
5.455 0.000 0.000
0.000 5.455 0.000
0.000 0.000 16.435
ATOMIC_POSITIONS crystal
Ag 0.000 0.000 0.000
Ag 0.000 0.500 0.250
Ag 0.500 0.000 0.750
Ag 0.500 0.500 0.500
Ge 0.000 0.000 0.500
Ge 0.000 0.500 0.750
Ge 0.500 0.000 0.250
Ge 0.500 0.500 0.000
Br 0.248 0.250 0.125
Br 0.250 0.748 0.375
Br 0.250 0.752 0.875
Br 0.252 0.250 0.625
Br 0.748 0.750 0.625
Br 0.750 0.248 0.875
Br 0.750 0.252 0.375
Br 0.752 0.750 0.125
```

Summary:
The size of the total moment is 0.00 μB/f.u. As for the crystal system: tetragonal. The formation energy from raw total energies comes out at 0.035 eV per atom. As for the offset from the most stable computed form: 6.1 kJ per mole of atoms. As for the uncorrected energy: -2.6691 eV/atom.


[9]
Computed, not measured: a geometry-optimized SrCeNd2As4 structure at the PBE level of DFT. Values from VASP.

Structure (Quantum ESPRESSO input):
```
&SYSTEM
  ibrav = 0, nat = 8, ntyp = 4
/
ATOMIC_SPECIES
Sr 87.62 Sr.upf
Ce 140.12 Ce.upf
Nd 144.24 Nd.upf
As 74.92 As.upf
CELL_PARAMETERS angstrom
7.442 0.000 0.000
0.000 4.302 0.000
-2.433 0.000 7.035
ATOMIC_POSITIONS crystal
Sr 0.000 0.000 0.000
Ce 0.500 0.500 0.000
Nd 0.000 0.500 0.500
Nd 0.500 0.000 0.500
As 0.260 0.000 0.752
As 0.265 0.500 0.254
As 0.735 0.500 0.746
As 0.740 0.000 0.248
```

Summary:
The size of the total moment is 0.16 μB/f.u. As for the crystal system: monoclinic. For the formation energy from the elements, the calculation gives -1367 meV/atom. As for the uncorrected energy: -5.8362 eV/atom.


[10]
Computed, not measured: a geometry-optimized KCo2Ni structure at the PBE level of DFT. Values from VASP.

Structure (Quantum ESPRESSO input):
```
&SYSTEM
  ibrav = 0, nat = 8, ntyp = 3
/
ATOMIC_SPECIES
K 39.10 K.upf
Co 58.93 Co.upf
Ni 58.69 Ni.upf
CELL_PARAMETERS angstrom
8.062 0.000 0.000
0.000 2.691 0.000
-0.695 0.000 6.799
ATOMIC_POSITIONS crystal
K 0.000 0.000 0.000
K 0.500 0.500 0.000
Co 0.223 0.000 0.624
Co 0.496 0.000 0.509
Co 0.723 0.500 0.624
Co 0.996 0.500 0.509
Ni 0.273 0.500 0.355
Ni 0.773 0.000 0.355
```

Summary:
The size of the total moment is 3.95 μB/f.u. As for the crystal system: monoclinic. For the formation energy from the elements, the calculation gives 626 meV/atom. As for the offset from the most stable computed form: 2.2 kJ per mole of atoms. As for the uncorrected energy: -4.6467 eV/atom.


[11]
Computed, not measured: a geometry-optimized CaCePrY structure at the PBE level of DFT. Values from VASP.

Structure (Quantum ESPRESSO input):
```
&SYSTEM
  ibrav = 0, nat = 16, ntyp = 4
/
ATOMIC_SPECIES
Ca 40.08 Ca.upf
Ce 140.12 Ce.upf
Pr 140.91 Pr.upf
Y 88.91 Y.upf
CELL_PARAMETERS angstrom
8.261 0.000 0.000
0.000 8.261 0.000
0.000 0.000 8.261
ATOMIC_POSITIONS crystal
Ca 0.000 0.000 0.000
Ca 0.000 0.500 0.500
Ca 0.500 0.000 0.500
Ca 0.500 0.500 0.000
Ce 0.000 0.000 0.500
Ce 0.000 0.500 0.000
Ce 0.500 0.000 0.000
Ce 0.500 0.500 0.500
Pr 0.250 0.250 0.750
Pr 0.250 0.750 0.250
Pr 0.750 0.250 0.250
Pr 0.750 0.750 0.750
Y 0.250 0.250 0.250
Y 0.250 0.750 0.750
Y 0.750 0.250 0.750
Y 0.750 0.750 0.250
```

Summary:
The size of the total moment is 2.16 μB/f.u. As for the crystal system: cubic. For the formation energy from the elements, the calculation gives 232 meV/atom. As for the uncorrected energy: -4.5630 eV/atom.


[12]
Computed, not measured: a geometry-optimized Be2CdRu structure at the PBE level of DFT. Values from VASP.

Structure (Quantum ESPRESSO input):
```
&SYSTEM
  ibrav = 0, nat = 12, ntyp = 3
/
ATOMIC_SPECIES
Be 9.01 Be.upf
Cd 112.41 Cd.upf
Ru 101.07 Ru.upf
CELL_PARAMETERS angstrom
2.782 0.000 0.000
-1.391 2.409 0.000
0.000 0.000 24.647
ATOMIC_POSITIONS crystal
Be 0.000 0.000 0.236
Be 0.000 0.000 0.764
Be 0.333 0.667 0.431
Be 0.333 0.667 0.903
Be 0.667 0.333 0.097
Be 0.667 0.333 0.569
Cd 0.000 0.000 0.000
Cd 0.333 0.667 0.667
Cd 0.667 0.333 0.333
Ru 0.000 0.000 0.500
Ru 0.333 0.667 0.167
Ru 0.667 0.333 0.833
```

Summary:
The size of the total moment is 0.00 μB/f.u. As for the crystal system: trigonal. For the formation energy from the elements, the calculation gives 263 meV/atom. As for the uncorrected energy: -4.1482 eV/atom.


- Which of these has the lowest uncorrected energy?
  PrSiPt2


- size of the total moment of number 1 (KP12Au4)?
  0.00 μB/f.u.


Repeat the first record exactly.
Computed, not measured: a geometry-optimized KP12Au4 structure at the PBE level of DFT. Values from VASP.

Structure (Quantum ESPRESSO input):
```
&SYSTEM
  ibrav = 0, nat = 17, ntyp = 3
/
ATOMIC_SPECIES
K 39.10 K.upf
P 30.97 P.upf
Au 196.97 Au.upf
CELL_PARAMETERS angstrom
5.949 3.435 2.652
-5.949 3.435 2.652
0.000 -6.869 2.652
ATOMIC_POSITIONS crystal
K 0.000 0.000 0.000
P 0.114 0.618 0.748
P 0.133 0.369 0.504
P 0.252 0.886 0.382
P 0.369 0.504 0.133
P 0.382 0.252 0.886
P 0.496 0.867 0.631
P 0.504 0.133 0.369
P 0.618 0.748 0.114
P 0.631 0.496 0.867
P 0.748 0.114 0.618
P 0.867 0.631 0.496
P 0.886 0.382 0.252
Au 0.000 0.000 0.500
Au 0.000 0.500 0.000
Au 0.500 0.000 0.000
Au 0.500 0.500 0.500
```

Summary:
The size of the total moment is 0.00 μB/f.u. As for the crystal system: trigonal. For the formation energy from the elements, the calculation gives 1 meV/atom. As for the uncorrected energy: -4.6532 eV/atom.


- What is the size of the total moment in the fifth record?
  0.55 μB/f.u.